Here is a relaxed Cs8HF6 crystal from the Alexandria database. Energies are from GGA-PBE.

Results
Its calculated total energy is -51.58 eV per cell.

```
data_Cs8HF6
_chemical_formula_sum 'Cs8 H1 F6'
_cell_length_a 11.389
_cell_length_b 11.389
_cell_length_c 4.500
_cell_angle_alpha 90.00
_cell_angle_beta 90.00
_cell_angle_gamma 120.00
_space_group_name_H-M_alt 'P 1'
_space_group_IT_number 1
_space_group_name_Hall 'P 1'
loop_
_atom_site_label
_atom_site_type_symbol
_atom_site_fract_x
_atom_site_fract_y
_atom_site_fract_z
_atom_site_occupancy
Cs1 Cs 0.038 0.693 0.254 1
Cs2 Cs 0.307 0.345 0.254 1
Cs3 Cs 0.333 0.667 0.754 1
Cs4 Cs 0.345 0.038 0.746 1
Cs5 Cs 0.655 0.962 0.254 1
Cs6 Cs 0.667 0.333 0.246 1
Cs7 Cs 0.693 0.655 0.746 1
Cs8 Cs 0.962 0.307 0.746 1
H1 H 0.000 0.000 0.500 1
F1 F 0.136 0.478 0.249 1
F2 F 0.342 0.864 0.249 1
F3 F 0.478 0.342 0.751 1
F4 F 0.522 0.658 0.249 1
F5 F 0.658 0.136 0.751 1
F6 F 0.864 0.522 0.751 1
```



Here is a relaxed Cs2H3F6 crystal from the Alexandria database. Energies are from GGA-PBE.

Results
Its calculated total energy is -87.97 eV per cell.

```
data_Cs2H3F6
_chemical_formula_sum 'Cs4 H6 F12'
_cell_length_a 8.163
_cell_length_b 8.163
_cell_length_c 11.691
_cell_angle_alpha 110.65
_cell_angle_beta 110.65
_cell_angle_gamma 60.10
_space_group_name_H-M_alt 'P 1'
_space_group_IT_number 1
_space_group_name_Hall 'P 1'
loop_
_atom_site_label
_atom_site_type_symbol
_atom_site_fract_x
_atom_site_fract_y
_atom_site_fract_z
_atom_site_occupancy
Cs1 Cs 0.158 0.658 0.973 1
Cs2 Cs 0.342 0.842 0.527 1
Cs3 Cs 0.658 0.158 0.473 1
Cs4 Cs 0.842 0.342 0.027 1
H1 H 0.030 0.970 0.750 1
H2 H 0.251 0.469 0.249 1
H3 H 0.469 0.251 0.749 1
H4 H 0.531 0.749 0.251 1
H5 H 0.749 0.531 0.751 1
H6 H 0.970 0.030 0.250 1
F1 F 0.025 0.966 0.650 1
F2 F 0.034 0.975 0.850 1
F3 F 0.161 0.464 0.149 1
F4 F 0.341 0.474 0.350 1
F5 F 0.464 0.161 0.649 1
F6 F 0.474 0.341 0.850 1
F7 F 0.526 0.659 0.150 1
F8 F 0.536 0.839 0.351 1
F9 F 0.659 0.526 0.650 1
F10 F 0.839 0.536 0.851 1
F11 F 0.966 0.025 0.150 1
F12 F 0.975 0.034 0.350 1
```



Here is a relaxed Cs5HF4 crystal from the Alexandria database. Energies are from GGA-PBE.

Results
Its calculated total energy is -36.65 eV per cell.

```
data_Cs5HF4
_chemical_formula_sum 'Cs5 H1 F4'
_cell_length_a 7.539
_cell_length_b 7.539
_cell_length_c 7.539
_cell_angle_alpha 99.60
_cell_angle_beta 99.60
_cell_angle_gamma 131.80
_space_group_name_H-M_alt 'P 1'
_space_group_IT_number 1
_space_group_name_Hall 'P 1'
loop_
_atom_site_label
_atom_site_type_symbol
_atom_site_fract_x
_atom_site_fract_y
_atom_site_fract_z
_atom_site_occupancy
Cs1 Cs 0.000 0.000 0.000 1
Cs2 Cs 0.195 0.604 0.799 1
Cs3 Cs 0.396 0.195 0.590 1
Cs4 Cs 0.604 0.805 0.410 1
Cs5 Cs 0.805 0.396 0.201 1
H1 H 0.500 0.500 0.000 1
F1 F 0.102 0.300 0.402 1
F2 F 0.300 0.898 0.199 1
F3 F 0.700 0.102 0.801 1
F4 F 0.898 0.700 0.598 1
```



Which of these has the lowest calculated total energy? Cs2H3F6



Please write out number 1 again, unchanged.
Here is a relaxed Cs8HF6 crystal from the Alexandria database. Energies are from GGA-PBE.

Results
Its calculated total energy is -51.58 eV per cell.

```
data_Cs8HF6
_chemical_formula_sum 'Cs8 H1 F6'
_cell_length_a 11.389
_cell_length_b 11.389
_cell_length_c 4.500
_cell_angle_alpha 90.00
_cell_angle_beta 90.00
_cell_angle_gamma 120.00
_space_group_name_H-M_alt 'P 1'
_space_group_IT_number 1
_space_group_name_Hall 'P 1'
loop_
_atom_site_label
_atom_site_type_symbol
_atom_site_fract_x
_atom_site_fract_y
_atom_site_fract_z
_atom_site_occupancy
Cs1 Cs 0.038 0.693 0.254 1
Cs2 Cs 0.307 0.345 0.254 1
Cs3 Cs 0.333 0.667 0.754 1
Cs4 Cs 0.345 0.038 0.746 1
Cs5 Cs 0.655 0.962 0.254 1
Cs6 Cs 0.667 0.333 0.246 1
Cs7 Cs 0.693 0.655 0.746 1
Cs8 Cs 0.962 0.307 0.746 1
H1 H 0.000 0.000 0.500 1
F1 F 0.136 0.478 0.249 1
F2 F 0.342 0.864 0.249 1
F3 F 0.478 0.342 0.751 1
F4 F 0.522 0.658 0.249 1
F5 F 0.658 0.136 0.751 1
F6 F 0.864 0.522 0.751 1
```



Which of these has the highest calculated total energy? Cs5HF4